The following is a PBE+U calculation of a relaxed MnRhI2O crystal, from Alexandria.

Structure (POSCAR):
```
MnRhI2O
1.0
5.6771 0.0000 0.0000
0.0000 5.6771 0.0000
0.0000 0.0000 3.7738
Mn Rh I O
1 1 2 1
Direct
0.0000 0.0000 0.0000
0.5000 0.5000 0.5000
0.0000 0.5000 0.5000
0.5000 0.0000 0.5000
0.5000 0.5000 0.0000
```

Summary:
The space group is No. 123. The density of states at the Fermi level comes out at 0.448 states/eV per atom. The total energy is -23.16 eV/cell. The energy above the most stable polymorph in this dataset comes out at 0 meV per atom. For the total magnetization, the calculation gives 5.34 μB/cell.